Here is AlCo3Si5 after structural relaxation from Alexandria via LeMat-Bulk. Energies are from GGA-PBE.

E_tot in eV/atom: -6.25
Volume in Å³ per atom: 13.17

a b c (Å): 12.116 5.422 7.625
angles (deg): 90.00 108.83 90.00
Space group C2/c (No. 15)
Unique sites:
Al1 0.000 0.243 0.250 x4
Co1 0.000 0.500 0.000 x4
Co2 0.171 0.008 0.837 x8
Si1 0.000 0.250 0.750 x4
Si2 0.165 0.247 0.085 x8
Si3 0.167 0.251 0.583 x8